# 1
The following is a DFT calculation (PBE) of Pa2SnC after structural relaxation.

Calculated total energy (hartree per atom): -0.311
Total moment (μB/f.u.): 0.0

Lattice parameters (Å, degrees): 8.7289 8.7289 8.7289 22.31 22.31 22.31
With the nearest neighbours (Å) after each atom.
Atoms (fractional coordinates):
C: 0.0000 0.0000 0.0000  6 Pa 2.46
Pa: 0.2747 0.2747 0.2747  3 C 2.46
Pa: 0.7253 0.7253 0.7253  3 C 2.46
Sn: 0.5000 0.5000 0.5000  6 Pa 3.38, 6 Sn 3.38

---

# 2
The following is a DFT calculation (PBE) of Pa3SnC after structural relaxation.

Calculated total energy (hartree per atom): -0.320
Total moment (μB/f.u.): 0.0

Lattice parameters (Å, degrees): 4.8043 4.8043 4.8043 90.00 90.00 90.00
With the nearest neighbours (Å) after each atom.
Atoms (fractional coordinates):
C: 0.0000 0.0000 0.0000  6 Pa 2.40
Pa: 0.5000 0.0000 0.0000  2 C 2.40
Pa: 0.0000 0.5000 0.0000  2 C 2.40
Pa: 0.0000 0.0000 0.5000  2 C 2.40
Sn: 0.5000 0.5000 0.5000  12 Pa 3.40

---

# 3
The following is a DFT calculation (PBE) of TmPaC2 after structural relaxation.

Calculated total energy (hartree per atom): -0.314
Total moment (μB/f.u.): 0.0

Lattice parameters (Å, degrees): 6.1232 6.1232 6.1232 34.26 34.26 34.26
With the nearest neighbours (Å) after each atom.
Atoms (fractional coordinates):
C: 0.2562 0.2562 0.2562  3 Pa 2.47, 3 Tm 2.59
C: 0.7438 0.7438 0.7438  3 Pa 2.47, 3 Tm 2.59
Pa: 0.0000 0.0000 0.0000  6 C 2.47
Tm: 0.5000 0.5000 0.5000  6 C 2.59

---

# 4
The following is a DFT calculation (PBE) of UPaC2 after structural relaxation.

Calculated total energy (hartree per atom): -0.371
Total moment (μB/f.u.): 0.0

Lattice parameters (Å, degrees): 6.0701 6.0701 6.1429 99.70 99.70 34.06
With the nearest neighbours (Å) after each atom.
Atoms (fractional coordinates):
C: 0.8655 0.3660 0.1214  3 U 2.44, 3 Pa 2.56
C: 0.6340 0.1345 0.3786  3 U 2.44, 3 Pa 2.56
C: 0.3660 0.8655 0.6214  3 U 2.44, 3 Pa 2.56
C: 0.1345 0.6340 0.8786  3 U 2.44, 3 Pa 2.56
Pa: 0.5000 0.0000 0.0000  6 C 2.56
Pa: 0.0000 0.5000 0.5000  6 C 2.56
U: 0.2499 0.7501 0.2500  6 C 2.44
U: 0.7501 0.2499 0.7500  6 C 2.44

---

# 5
The following is a DFT calculation (PBE) of UPa3C4 after structural relaxation.

Calculated total energy (hartree per atom): -0.366
Total moment (μB/f.u.): 0.0

Lattice parameters (Å, degrees): 6.1684 6.1684 3.5646 90.00 90.00 109.76
With the nearest neighbours (Å) after each atom.
Atoms (fractional coordinates):
C: 0.2370 0.2370 0.0000  2 U 2.45, 4 Pa 2.52-2.58
C: 0.7630 0.7630 0.0000  2 U 2.45, 4 Pa 2.52-2.58
C: 0.7558 0.2442 0.5000  1 U 2.46, 5 Pa 2.52-2.58
C: 0.2442 0.7558 0.5000  1 U 2.46, 5 Pa 2.52-2.58
Pa: 0.5000 0.0000 0.0000  6 C 2.52
Pa: 0.0000 0.5000 0.0000  6 C 2.52
Pa: 0.5000 0.5000 0.5000  6 C 2.58
U: 0.0000 0.0000 0.5000  6 C 2.45-2.46

---

# 6
The following is a DFT calculation (PBE) of Pd4PbC2S after structural relaxation.

Calculated total energy (hartree per atom): -0.194

Lattice parameters (Å, degrees): 3.3266 3.3266 12.7887 90.00 90.00 120.00
With the nearest neighbours (Å) after each atom.
Atoms (fractional coordinates):
C: 0.3333 0.6667 0.2739  6 Pd 2.16-2.22
C: 0.3333 0.6667 0.7261  6 Pd 2.16-2.22
Pb: 0.0000 0.0000 0.0000  6 Pd 3.16, 6 Pb 3.33
Pd: 0.6667 0.3333 0.1959  3 C 2.16
Pd: 0.0000 0.0000 0.3610  3 C 2.22
Pd: 0.0000 0.0000 0.6390  3 C 2.22
Pd: 0.6667 0.3333 0.8041  3 C 2.16
S: 0.6667 0.3333 0.5000  6 Pd 2.62

---

# 7
The following is a DFT calculation (PBE) of Pd4PbC2Se after structural relaxation.

Calculated total energy (hartree per atom): -0.191

Lattice parameters (Å, degrees): 3.3063 3.3063 13.4480 90.00 90.00 120.00
With the nearest neighbours (Å) after each atom.
Atoms (fractional coordinates):
C: 0.6667 0.3333 0.2642  6 Pd 2.15-2.22
C: 0.6667 0.3333 0.7358  6 Pd 2.15-2.22
Pb: 0.0000 0.0000 0.0000  6 Pd 3.20, 6 Pb 3.31
Pd: 0.3333 0.6667 0.1914  3 C 2.15
Pd: 0.0000 0.0000 0.3482  3 C 2.22
Pd: 0.0000 0.0000 0.6518  3 C 2.22
Pd: 0.3333 0.6667 0.8086  3 C 2.15
Se: 0.3333 0.6667 0.5000  6 Pd 2.79

---

# 8
The following is a DFT calculation (PBE) of Pr3PbC after structural relaxation.

Polymorph energy (0 for the lowest one) (meV per atom): 0.0
Calculated total energy (hartree per atom): -0.214
Total moment (μB/f.u.): 0.0

Lattice parameters (Å, degrees): 5.1788 5.1788 5.1788 90.00 90.00 90.00
With the nearest neighbours (Å) after each atom.
Atoms (fractional coordinates):
C: 0.5000 0.5000 0.5000  6 Pr 2.59
Pb: 0.0000 0.0000 0.0000  12 Pr 3.66
Pr: 0.5000 0.5000 0.0000  2 C 2.59
Pr: 0.5000 0.0000 0.5000  2 C 2.59
Pr: 0.0000 0.5000 0.5000  2 C 2.59